Entry from Alexandria via LeMat-Bulk: a geometry-optimized KBe2Si structure (PBE).

The structure belongs to space group Pm (No. 6); the cell edges are 2.7003, 3.6459 and 7.2306 Å and the angles 90.00°, 100.29° and 90.00°. The inequivalent atoms are K at (0.0000, 0.0000, 0.0000), Be at (0.2892, 0.5000, 0.6061), Be at (0.7620, 0.0000, 0.5506) and Si at (0.6639, 0.5000, 0.3424).

As for the density: 2.020 g cm⁻³. The formation energy without anion corrections is 0.411 eV/atom. Its uncorrected energy is -3.08 eV/atom. For the density of states at the Fermi level, the calculation gives 1.37 states/eV per cell.

***

Entry from Alexandria via LeMat-Bulk: a geometry-optimized KBe2Si structure (PBE).

The structure belongs to space group P2/m (No. 10); the cell edges are 2.6693, 3.8837 and 7.0799 Å and the angles 90.00°, 97.32° and 90.00°. The inequivalent atoms are K at (0.0000, 0.0000, 0.0000), Be at (0.2880, 0.5000, 0.6349) and Si at (0.5000, 0.0000, 0.5000).

As for the density: 1.944 g cm⁻³. The formation energy without anion corrections is 0.608 eV/atom. Its uncorrected energy is -2.89 eV/atom. For the density of states at the Fermi level, the calculation gives 1.66 states/eV per cell.

***

Entry from Alexandria via LeMat-Bulk: a geometry-optimized KBe3Si structure (PBE).

The structure belongs to space group Pm-3m (No. 221); the cell edges are 4.4320, 4.4320 and 4.4320 Å and the angles 90.00°, 90.00° and 90.00°. The inequivalent atoms are K at (0.0000, 0.0000, 0.0000), Be at (0.0000, 0.5000, 0.5000) and Si at (0.5000, 0.5000, 0.5000).

As for the density: 1.797 g cm⁻³. The calculation puts the energy relative to the lowest polymorph listed for this composition at 0.000 eV per atom. The formation energy without anion corrections is 0.909 eV/atom. Its uncorrected energy is -2.63 eV/atom. For the density of states at the Fermi level, the calculation gives 2.34 states/eV per cell.